## CuRe2HgP (PBE)

Data for a geometry-optimized CuRe2HgP structure.

Cell and atoms, written as POSCAR:
```
CuRe2HgP
1.0
-3.9980 2.4113 0.8544
-2.0693 -3.4842 0.1507
0.8237 -0.2874 4.6656
Re Hg Cu P
2 1 1 1
direct
0.0000 0.0000 0.5000
0.5000 0.0000 0.0000
0.5000 0.5000 0.5000
0.0000 0.0000 0.0000
0.0000 0.5000 0.0000
```

Total magnetization (μB/f.u.): 3.298
DOS(E_F) (states/eV per cell): 4.3
SG: P4/mmm, No. 123
Formation energy (kJ/mol of atoms): 172

=====

## TiNb2Bi (PBE)

Data for a geometry-optimized TiNb2Bi structure.

Cell and atoms, written as POSCAR:
```
TiNb2Bi
1.0
-3.0835 3.2832 -0.1213
-0.7887 -0.8871 -3.9620
-2.9108 -2.6902 1.1817
Nb Bi Ti
2 1 1
direct
0.0000 0.0000 0.5000
0.0000 0.5000 0.0000
0.5000 0.0000 0.0000
0.5000 0.5000 0.5000
```

Total magnetization (μB/f.u.): 0.000
DOS(E_F) (states/eV per cell): 4.4
SG: P4/mmm, No. 123
Formation energy (kJ/mol of atoms): 4

=====

## Li2HgN (PBE)

Data for a geometry-optimized Li2HgN structure.

Cell and atoms, written as POSCAR:
```
Li2HgN
1.0
0.0000 2.9674 2.9674
2.9674 0.0000 2.9674
2.9674 2.9674 0.0000
Li Hg N
2 1 1
direct
0.2500 0.2500 0.2500
0.7500 0.7500 0.7500
0.5000 0.5000 0.5000
0.0000 0.0000 0.0000
```

Total magnetization (μB/f.u.): 0.000
DOS(E_F) (states/eV per cell): 1.4
SG: Fm-3m, No. 225
ΔE_f (raw) (meV/atom): 322

=====

## RbIrS (PBE)

Data for a geometry-optimized RbIrS structure.

Cell and atoms, written as POSCAR:
```
RbIrS
1.0
6.2687 0.0000 0.0000
-3.1344 5.4289 0.0000
0.0000 0.0000 10.1911
Ir Rb S
3 3 3
direct
0.8979 0.4483 0.6114
0.5504 0.1021 0.9447
0.5517 0.4496 0.2780
0.8660 0.1335 0.2774
0.8665 0.7325 0.9440
0.2675 0.1340 0.6107
0.7924 0.5832 0.4446
0.7908 0.2076 0.7780
0.4168 0.2092 0.1113
```

Total magnetization (μB/f.u.): 0.000
DOS(E_F) (states/eV per cell): 4.9
SG: P3_2, No. 145
ΔE_f (raw) (meV/atom): -42

=====

## LiSiNi2 (PBE)

Data for a geometry-optimized LiSiNi2 structure.

Cell and atoms, written as POSCAR:
```
LiSiNi2
1.0
-4.4538 0.2559 0.0015
-1.9015 -0.8676 3.9413
3.2475 2.6701 -1.4920
Li Ni Si
1 2 1
direct
0.2500 0.7500 0.5000
0.9994 0.9994 0.0000
0.7476 0.2476 0.5000
0.5030 0.5030 0.0000
```

Total magnetization (μB/f.u.): 0.000
DOS(E_F) (states/eV per cell): 1.6
SG: Imm2, No. 44
ΔE_f (raw) (meV/atom): -353

=====

## TaCr2Au (PBE)

Data for a geometry-optimized TaCr2Au structure.

Cell and atoms, written as POSCAR:
```
TaCr2Au
1.0
8.8409 -0.0095 -0.0056
8.3822 2.8108 -0.0056
8.3822 1.3634 2.4580
Au Cr Ta
1 2 1
direct
0.7445 0.7445 0.7445
0.9887 0.9887 0.9887
0.2617 0.2617 0.2617
0.5052 0.5052 0.5052
```

Total magnetization (μB/f.u.): 0.002
DOS(E_F) (states/eV per cell): 5.9
SG: R3m, No. 160
Formation energy (kJ/mol of atoms): 34